Density functional theory data (PBE+U) for CaMnCu2F8 after structural relaxation.

Output
The space-group type is I-4. Its calculated volume is 153.3 Å³/f.u. As for the uncorrected energy: -5.0675 eV per atom.

Cell lengths 5.3798, 5.3798, 6.5206 Å; angles 114.36, 114.36, 90.00 degrees
Site moments in Bohr magnetons follow the coordinates.
Positions (direct):
Ca  0.7500  0.2500  0.5000  0.00
Mn  0.0000  0.0000  0.0000  4.71
Cu  0.5000  0.5000  0.0000  0.70
Cu  0.2500  0.7500  0.5000  0.73
F  0.7306  0.8521  0.1200  0.08
F  0.3894  0.2679  0.1200  0.08
F  0.6099  0.6624  0.6287  0.07
F  0.0188  0.9663  0.6287  0.07
F  0.0337  0.3901  0.3713  0.07
F  0.3376  0.9812  0.3713  0.07
F  0.1479  0.6106  0.8800  0.08
F  0.7321  0.2694  0.8800  0.08